# 1
## TbTmMgPd (PBE)

Data for an optimized crystal structure of TbTmMgPd.

## Properties
As for the crystal system: cubic. The formation energy comes out at -1.63 eV/f.u. Its space-group type is F-43m, No. 216. Its total energy is -4.38 eV per atom.

a = 7.224 Å, b = 7.224 Å, c = 7.224 Å
α = 90.00°, β = 90.00°, γ = 90.00°
Atoms (fractional coordinates):
Tb 0.000 0.000 0.000
Tb 0.000 0.500 0.500
Tb 0.500 0.000 0.500
Tb 0.500 0.500 0.000
Tm 0.000 0.000 0.500
Tm 0.000 0.500 0.000
Tm 0.500 0.000 0.000
Tm 0.500 0.500 0.500
Mg 0.250 0.250 0.750
Mg 0.250 0.750 0.250
Mg 0.750 0.250 0.250
Mg 0.750 0.750 0.750
Pd 0.250 0.250 0.250
Pd 0.250 0.750 0.750
Pd 0.750 0.250 0.750
Pd 0.750 0.750 0.250

# 2
## TbTm2MgPd4 (PBE)

Data for an optimized crystal structure of TbTm2MgPd4.

## Properties
As for the crystal system: trigonal. The formation energy comes out at -6.92 eV/f.u. Its space-group type is R-3m, No. 166. Its total energy is -5.36 eV per atom.

a = 8.394 Å, b = 8.394 Å, c = 8.394 Å
α = 33.48°, β = 33.48°, γ = 33.48°
Atoms (fractional coordinates):
Tb 0.000 0.000 0.000
Tm 0.245 0.245 0.245
Tm 0.755 0.755 0.755
Mg 0.500 0.500 0.500
Pd 0.125 0.125 0.125
Pd 0.377 0.377 0.377
Pd 0.623 0.623 0.623
Pd 0.875 0.875 0.875

# 3
## TbYMgPd (PBE)

Data for an optimized crystal structure of TbYMgPd.

## Properties
As for the crystal system: cubic. The formation energy comes out at -1.60 eV/f.u. Its space-group type is F-43m, No. 216. Its total energy is -4.87 eV per atom.

a = 7.283 Å, b = 7.283 Å, c = 7.283 Å
α = 90.00°, β = 90.00°, γ = 90.00°
Atoms (fractional coordinates):
Tb 0.000 0.000 0.000
Tb 0.000 0.500 0.500
Tb 0.500 0.000 0.500
Tb 0.500 0.500 0.000
Y 0.000 0.000 0.500
Y 0.000 0.500 0.000
Y 0.500 0.000 0.000
Y 0.500 0.500 0.500
Mg 0.250 0.250 0.250
Mg 0.250 0.750 0.750
Mg 0.750 0.250 0.750
Mg 0.750 0.750 0.250
Pd 0.250 0.250 0.750
Pd 0.250 0.750 0.250
Pd 0.750 0.250 0.250
Pd 0.750 0.750 0.750

# 4
## TbYMg2Pd4 (PBE)

Data for an optimized crystal structure of TbYMg2Pd4.

## Properties
As for the crystal system: trigonal. The formation energy comes out at -6.37 eV/f.u. Its space-group type is R-3m, No. 166. Its total energy is -5.18 eV per atom.

a = 8.296 Å, b = 8.296 Å, c = 8.296 Å
α = 33.52°, β = 33.52°, γ = 33.52°
Atoms (fractional coordinates):
Tb 0.000 0.000 0.000
Y 0.500 0.500 0.500
Mg 0.250 0.250 0.250
Mg 0.750 0.750 0.750
Pd 0.124 0.124 0.124
Pd 0.375 0.375 0.375
Pd 0.625 0.625 0.625
Pd 0.876 0.876 0.876

# 5
## TbMgZnPd (PBE)

Data for an optimized crystal structure of TbMgZnPd.

## Properties
As for the crystal system: cubic. The formation energy comes out at -2.14 eV/f.u. Its space-group type is F-43m, No. 216. Its total energy is -3.71 eV per atom.

a = 6.814 Å, b = 6.814 Å, c = 6.814 Å
α = 90.00°, β = 90.00°, γ = 90.00°
Atoms (fractional coordinates):
Tb 0.000 0.000 0.000
Tb 0.000 0.500 0.500
Tb 0.500 0.000 0.500
Tb 0.500 0.500 0.000
Mg 0.000 0.000 0.500
Mg 0.000 0.500 0.000
Mg 0.500 0.000 0.000
Mg 0.500 0.500 0.500
Zn 0.250 0.250 0.250
Zn 0.250 0.750 0.750
Zn 0.750 0.250 0.750
Zn 0.750 0.750 0.250
Pd 0.250 0.250 0.750
Pd 0.250 0.750 0.250
Pd 0.750 0.250 0.250
Pd 0.750 0.750 0.750

# 6
## TbMg2ZnPd4 (PBE)

Data for an optimized crystal structure of TbMg2ZnPd4.

## Properties
As for the crystal system: trigonal. The formation energy comes out at -5.59 eV/f.u. Its space-group type is R-3m, No. 166. Its total energy is -4.43 eV per atom.

a = 8.124 Å, b = 8.124 Å, c = 8.124 Å
α = 32.62°, β = 32.62°, γ = 32.62°
Atoms (fractional coordinates):
Tb 0.000 0.000 0.000
Mg 0.243 0.243 0.243
Mg 0.757 0.757 0.757
Zn 0.500 0.500 0.500
Pd 0.127 0.127 0.127
Pd 0.388 0.388 0.388
Pd 0.612 0.612 0.612
Pd 0.873 0.873 0.873

# 7
## TbMgZn2Pd4 (PBE)

Data for an optimized crystal structure of TbMgZn2Pd4.

## Properties
As for the crystal system: trigonal. The formation energy comes out at -5.43 eV/f.u. Its space-group type is R-3m, No. 166. Its total energy is -4.37 eV per atom.

a = 8.184 Å, b = 8.184 Å, c = 8.184 Å
α = 31.74°, β = 31.74°, γ = 31.74°
Atoms (fractional coordinates):
Tb 0.000 0.000 0.000
Mg 0.500 0.500 0.500
Zn 0.245 0.245 0.245
Zn 0.755 0.755 0.755
Pd 0.126 0.126 0.126
Pd 0.389 0.389 0.389
Pd 0.611 0.611 0.611
Pd 0.874 0.874 0.874

# 8
## Tb4MgZn2Pd (PBE)

Data for an optimized crystal structure of Tb4MgZn2Pd.

## Properties
As for the crystal system: trigonal. The formation energy comes out at -3.29 eV/f.u. Its space-group type is R-3m, No. 166. Its total energy is -3.89 eV per atom.

a = 8.849 Å, b = 8.849 Å, c = 8.849 Å
α = 33.59°, β = 33.59°, γ = 33.59°
Atoms (fractional coordinates):
Tb 0.117 0.117 0.117
Tb 0.370 0.370 0.370
Tb 0.630 0.630 0.630
Tb 0.883 0.883 0.883
Mg 0.500 0.500 0.500
Zn 0.239 0.239 0.239
Zn 0.761 0.761 0.761
Pd 0.000 0.000 0.000

# 9
## Mg2TcPd (PBE)

Data for an optimized crystal structure of Mg2TcPd.

## Properties
As for the crystal system: cubic. The value obtained for the energy above the lowest structure with this stoichiometry is 0 meV per atom. The formation energy comes out at 0.09 eV/f.u. Its space-group type is Fm-3m, No. 225. Its total energy is -4.66 eV per atom.

a = 6.389 Å, b = 6.389 Å, c = 6.389 Å
α = 90.00°, β = 90.00°, γ = 90.00°
Atoms (fractional coordinates):
Mg 0.250 0.250 0.250
Mg 0.250 0.250 0.750
Mg 0.250 0.750 0.250
Mg 0.250 0.750 0.750
Mg 0.750 0.250 0.250
Mg 0.750 0.250 0.750
Mg 0.750 0.750 0.250
Mg 0.750 0.750 0.750
Tc 0.000 0.000 0.000
Tc 0.000 0.500 0.500
Tc 0.500 0.000 0.500
Tc 0.500 0.500 0.000
Pd 0.000 0.000 0.500
Pd 0.000 0.500 0.000
Pd 0.500 0.000 0.000
Pd 0.500 0.500 0.500

# 10
## Mg2TcPd (PBE)

Data for an optimized crystal structure of Mg2TcPd.

## Properties
As for the crystal system: tetragonal. The value obtained for the energy above the lowest structure with this stoichiometry is 350 meV per atom. The formation energy comes out at 1.49 eV/f.u. Its space-group type is I-42d, No. 122. Its total energy is -4.31 eV per atom.

a = 7.161 Å, b = 7.161 Å, c = 5.579 Å
α = 90.00°, β = 90.00°, γ = 90.00°
Atoms (fractional coordinates):
Mg 0.234 0.250 0.125
Mg 0.250 0.734 0.375
Mg 0.250 0.766 0.875
Mg 0.266 0.250 0.625
Mg 0.734 0.750 0.625
Mg 0.750 0.234 0.875
Mg 0.750 0.266 0.375
Mg 0.766 0.750 0.125
Tc 0.000 0.000 0.500
Tc 0.000 0.500 0.750
Tc 0.500 0.000 0.250
Tc 0.500 0.500 0.000
Pd 0.000 0.000 0.000
Pd 0.000 0.500 0.250
Pd 0.500 0.000 0.750
Pd 0.500 0.500 0.500

# 11
## MgTcPd3 (PBE)

Data for an optimized crystal structure of MgTcPd3.

## Properties
As for the crystal system: cubic. The value obtained for the energy above the lowest structure with this stoichiometry is 32 meV per atom. The formation energy comes out at 4.47 eV/f.u. Its space-group type is Pm-3m, No. 221. Its total energy is -4.61 eV per atom.

a = 4.570 Å, b = 4.570 Å, c = 4.570 Å
α = 90.00°, β = 90.00°, γ = 90.00°
Atoms (fractional coordinates):
Mg 0.000 0.000 0.000
Tc 0.500 0.500 0.500
Pd 0.000 0.000 0.500
Pd 0.000 0.500 0.000
Pd 0.500 0.000 0.000

# 12
## Mg3TcPd (PBE)

Data for an optimized crystal structure of Mg3TcPd.

## Properties
As for the crystal system: cubic. The value obtained for the energy above the lowest structure with this stoichiometry is 0 meV per atom. The formation energy comes out at 2.82 eV/f.u. Its space-group type is Pm-3m, No. 221. Its total energy is -3.51 eV per atom.

a = 4.831 Å, b = 4.831 Å, c = 4.831 Å
α = 90.00°, β = 90.00°, γ = 90.00°
Atoms (fractional coordinates):
Mg 0.000 0.000 0.500
Mg 0.000 0.500 0.000
Mg 0.500 0.000 0.000
Tc 0.500 0.500 0.500
Pd 0.000 0.000 0.000